(1)
! Li2ZnFe PBE relaxed; values from VASP
&SYSTEM
  ibrav = 0, nat = 4, ntyp = 3
/
ATOMIC_SPECIES
Li 6.94 Li.upf
Zn 65.41 Zn.upf
Fe 55.84 Fe.upf
CELL_PARAMETERS angstrom
4.5984 -1.2850 0.0000
4.5984 1.2850 0.0000
-0.6691 0.0000 4.5771
ATOMIC_POSITIONS crystal
Li 0.2490 0.2490 0.2563
Li 0.7510 0.7510 0.7437
Zn 0.5000 0.5000 0.0000
Fe 0.0000 0.0000 0.5000
! * calculated formation energy: 10 kJ per mole of atoms
! * calculated volume: 13.523 A^3/atom
! * symmetry: C2/m, No. 12
! * raw total energy: -3.29 eV per atom


(2)
! LiZn2Fe PBE relaxed; values from VASP
&SYSTEM
  ibrav = 0, nat = 4, ntyp = 3
/
ATOMIC_SPECIES
Li 6.94 Li.upf
Zn 65.41 Zn.upf
Fe 55.84 Fe.upf
CELL_PARAMETERS angstrom
4.8020 -1.2944 0.0000
4.8020 1.2944 0.0000
-1.6535 0.0000 4.2799
ATOMIC_POSITIONS crystal
Li 0.0000 0.0000 0.0000
Zn 0.2483 0.2483 0.9052
Zn 0.5094 0.5094 0.4948
Fe 0.7658 0.7658 0.4147
! * calculated formation energy: 0 kJ per mole of atoms
! * calculated volume: 13.301 A^3/atom
! * symmetry: Cm, No. 8
! * raw total energy: -3.23 eV per atom


(3)
! Li2ZnFe PBE relaxed; values from VASP
&SYSTEM
  ibrav = 0, nat = 4, ntyp = 3
/
ATOMIC_SPECIES
Li 6.94 Li.upf
Zn 65.41 Zn.upf
Fe 55.84 Fe.upf
CELL_PARAMETERS angstrom
2.5881 -4.3399 0.0000
2.5881 4.3399 0.0000
0.0000 0.0000 2.4682
ATOMIC_POSITIONS crystal
Li 0.0000 0.5000 0.0000
Li 0.5000 0.0000 0.0000
Zn 0.0000 0.0000 0.5000
Fe 0.5000 0.5000 0.5000
! * calculated formation energy: 15 kJ per mole of atoms
! * calculated volume: 13.862 A^3/atom
! * symmetry: Cmmm, No. 65
! * raw total energy: -3.24 eV per atom


(4)
! LiZn5Fe PBE relaxed; values from VASP
&SYSTEM
  ibrav = 0, nat = 14, ntyp = 3
/
ATOMIC_SPECIES
Li 6.94 Li.upf
Zn 65.41 Zn.upf
Fe 55.84 Fe.upf
CELL_PARAMETERS angstrom
2.1539 -9.4059 0.0000
2.1539 9.4059 0.0000
-0.1241 0.0000 5.3708
ATOMIC_POSITIONS crystal
Li 0.1489 0.8511 0.7500
Li 0.8511 0.1489 0.2500
Zn 0.1650 0.8350 0.2500
Zn 0.2209 0.2714 0.3931
Zn 0.2714 0.2209 0.8931
Zn 0.2921 0.7060 0.4937
Zn 0.2940 0.7079 0.0063
Zn 0.7060 0.2921 0.9937
Zn 0.7079 0.2940 0.5063
Zn 0.7286 0.7791 0.1069
Zn 0.7791 0.7286 0.6069
Zn 0.8350 0.1650 0.7500
Fe 0.4070 0.5930 0.7500
Fe 0.5930 0.4070 0.2500
! * calculated formation energy: 12 kJ per mole of atoms
! * calculated volume: 15.544 A^3/atom
! * symmetry: C2/c, No. 15
! * raw total energy: -2.26 eV per atom


(5)
! LiZnFe2 PBE relaxed; values from VASP
&SYSTEM
  ibrav = 0, nat = 4, ntyp = 3
/
ATOMIC_SPECIES
Li 6.94 Li.upf
Zn 65.41 Zn.upf
Fe 55.84 Fe.upf
CELL_PARAMETERS angstrom
2.5091 0.0000 0.0000
0.0000 2.5091 0.0000
0.0000 0.0000 8.0938
ATOMIC_POSITIONS crystal
Li 0.0000 0.0000 0.0000
Zn 0.0000 0.0000 0.5000
Fe 0.5000 0.5000 0.2585
Fe 0.5000 0.5000 0.7415
! * calculated formation energy: 18 kJ per mole of atoms
! * calculated volume: 12.738 A^3/atom
! * symmetry: P4/mmm, No. 123
! * raw total energy: -4.84 eV per atom


(6)
! LiZnFe2 PBE relaxed; values from VASP
&SYSTEM
  ibrav = 0, nat = 4, ntyp = 3
/
ATOMIC_SPECIES
Li 6.94 Li.upf
Zn 65.41 Zn.upf
Fe 55.84 Fe.upf
CELL_PARAMETERS angstrom
1.4017 -2.0498 0.0000
1.4017 2.0498 0.0000
0.0000 0.0000 8.7913
ATOMIC_POSITIONS crystal
Li 0.0000 0.0000 0.0000
Zn 0.0000 0.0000 0.5000
Fe 0.5000 0.5000 0.2537
Fe 0.5000 0.5000 0.7463
! * calculated formation energy: 18 kJ per mole of atoms
! * calculated volume: 12.630 A^3/atom
! * symmetry: Cmmm, No. 65
! * raw total energy: -4.84 eV per atom


(7)
! LiZnFe2 PBE relaxed; values from VASP
&SYSTEM
  ibrav = 0, nat = 4, ntyp = 3
/
ATOMIC_SPECIES
Li 6.94 Li.upf
Zn 65.41 Zn.upf
Fe 55.84 Fe.upf
CELL_PARAMETERS angstrom
0.0000 2.8961 2.8961
2.8961 0.0000 2.8961
2.8961 2.8961 0.0000
ATOMIC_POSITIONS crystal
Li 0.0000 0.0000 0.0000
Zn 0.7500 0.7500 0.7500
Fe 0.2500 0.2500 0.2500
Fe 0.5000 0.5000 0.5000
! * calculated formation energy: 13 kJ per mole of atoms
! * calculated volume: 12.146 A^3/atom
! * symmetry: F-43m, No. 216
! * raw total energy: -4.90 eV per atom


(8)
! Li2ZnFe PBE relaxed; values from VASP
&SYSTEM
  ibrav = 0, nat = 4, ntyp = 3
/
ATOMIC_SPECIES
Li 6.94 Li.upf
Zn 65.41 Zn.upf
Fe 55.84 Fe.upf
CELL_PARAMETERS angstrom
-1.3227 2.2190 4.6270
1.3227 -2.2190 4.6270
1.3227 2.2190 -4.6270
ATOMIC_POSITIONS crystal
Li 0.2462 0.2462 0.0000
Li 0.7538 0.7538 0.0000
Zn 0.0000 0.5000 0.5000
Fe 0.5000 0.0000 0.5000
! * calculated formation energy: 12 kJ per mole of atoms
! * calculated volume: 13.581 A^3/atom
! * symmetry: Immm, No. 71
! * raw total energy: -3.27 eV per atom


(9)
! LiZnFe2 PBE relaxed; values from VASP
&SYSTEM
  ibrav = 0, nat = 8, ntyp = 3
/
ATOMIC_SPECIES
Li 6.94 Li.upf
Zn 65.41 Zn.upf
Fe 55.84 Fe.upf
CELL_PARAMETERS angstrom
-3.3360 3.3360 2.4188
3.3360 -3.3360 2.4188
3.3360 3.3360 -2.4188
ATOMIC_POSITIONS crystal
Li 0.0000 0.0000 0.0000
Li 0.7500 0.2500 0.5000
Zn 0.2500 0.7500 0.5000
Zn 0.5000 0.5000 0.0000
Fe 0.1239 0.6250 0.9989
Fe 0.3750 0.3739 0.4989
Fe 0.6261 0.1250 0.0011
Fe 0.8750 0.8761 0.5011
! * calculated formation energy: 48 kJ per mole of atoms
! * calculated volume: 13.460 A^3/atom
! * symmetry: I-42d, No. 122
! * raw total energy: -4.53 eV per atom


(10)
! LiZnFe2 PBE relaxed; values from VASP
&SYSTEM
  ibrav = 0, nat = 4, ntyp = 3
/
ATOMIC_SPECIES
Li 6.94 Li.upf
Zn 65.41 Zn.upf
Fe 55.84 Fe.upf
CELL_PARAMETERS angstrom
-1.4143 2.0142 4.2858
1.4143 -2.0142 4.2858
1.4143 2.0142 -4.2858
ATOMIC_POSITIONS crystal
Li 0.0000 0.0000 0.0000
Zn 0.5000 0.5000 0.0000
Fe 0.2527 0.7527 0.5000
Fe 0.7473 0.2473 0.5000
! * calculated formation energy: 10 kJ per mole of atoms
! * calculated volume: 12.209 A^3/atom
! * symmetry: Immm, No. 71
! * raw total energy: -4.92 eV per atom


(11)
! Li2ZnFe PBE relaxed; values from VASP
&SYSTEM
  ibrav = 0, nat = 4, ntyp = 3
/
ATOMIC_SPECIES
Li 6.94 Li.upf
Zn 65.41 Zn.upf
Fe 55.84 Fe.upf
CELL_PARAMETERS angstrom
2.5051 0.0000 0.0000
0.0000 4.2107 0.0000
0.0000 0.0000 5.2032
ATOMIC_POSITIONS crystal
Li 0.0000 0.0000 0.2472
Li 0.0000 0.0000 0.7528
Zn 0.5000 0.5000 0.5000
Fe 0.5000 0.5000 0.0000
! * calculated formation energy: 14 kJ per mole of atoms
! * calculated volume: 13.721 A^3/atom
! * symmetry: Pmmm, No. 47
! * raw total energy: -3.24 eV per atom


(12)
! LiZn2Fe PBE relaxed; values from VASP
&SYSTEM
  ibrav = 0, nat = 4, ntyp = 3
/
ATOMIC_SPECIES
Li 6.94 Li.upf
Zn 65.41 Zn.upf
Fe 55.84 Fe.upf
CELL_PARAMETERS angstrom
2.6023 0.0000 0.0000
0.0000 2.6023 0.0000
0.0000 0.0000 7.9699
ATOMIC_POSITIONS crystal
Li 0.0000 0.0000 0.0000
Zn 0.5000 0.5000 0.2631
Zn 0.5000 0.5000 0.7369
Fe 0.0000 0.0000 0.5000
! * calculated formation energy: -6 kJ per mole of atoms
! * calculated volume: 13.493 A^3/atom
! * symmetry: P4/mmm, No. 123
! * raw total energy: -3.29 eV per atom


(13)
! LiZn6Fe PBE relaxed; values from VASP
&SYSTEM
  ibrav = 0, nat = 8, ntyp = 3
/
ATOMIC_SPECIES
Li 6.94 Li.upf
Zn 65.41 Zn.upf
Fe 55.84 Fe.upf
CELL_PARAMETERS angstrom
2.6998 0.0000 0.0000
0.0000 4.3164 4.8038
0.0000 -4.3164 4.8038
ATOMIC_POSITIONS crystal
Li 0.0000 0.0000 0.0000
Zn 0.0000 0.4141 0.9117
Zn 0.0000 0.9117 0.4141
Zn 0.5000 0.1802 0.6647
Zn 0.5000 0.2631 0.2631
Zn 0.5000 0.6647 0.1802
Zn 0.5000 0.7509 0.7509
Fe 0.0000 0.5093 0.5093
! * calculated formation energy: -3 kJ per mole of atoms
! * calculated volume: 13.995 A^3/atom
! * symmetry: Amm2, No. 38
! * raw total energy: -2.28 eV per atom


(14)
! Li2ZnFe PBE relaxed; values from VASP
&SYSTEM
  ibrav = 0, nat = 4, ntyp = 3
/
ATOMIC_SPECIES
Li 6.94 Li.upf
Zn 65.41 Zn.upf
Fe 55.84 Fe.upf
CELL_PARAMETERS angstrom
2.5518 0.0000 0.0000
0.0000 3.9646 0.0000
0.0000 0.0000 5.5126
ATOMIC_POSITIONS crystal
Li 0.0000 0.0000 0.0000
Li 0.5000 0.5000 0.2635
Zn 0.0000 0.0000 0.5288
Fe 0.5000 0.5000 0.7407
! * calculated formation energy: 9 kJ per mole of atoms
! * calculated volume: 13.943 A^3/atom
! * symmetry: Pmm2, No. 25
! * raw total energy: -3.30 eV per atom


(15)
! LiZn2Fe PBE relaxed; values from VASP
&SYSTEM
  ibrav = 0, nat = 4, ntyp = 3
/
ATOMIC_SPECIES
Li 6.94 Li.upf
Zn 65.41 Zn.upf
Fe 55.84 Fe.upf
CELL_PARAMETERS angstrom
0.0000 2.9829 2.9829
2.9829 0.0000 2.9829
2.9829 2.9829 0.0000
ATOMIC_POSITIONS crystal
Li 0.0000 0.0000 0.0000
Zn 0.2500 0.2500 0.2500
Zn 0.5000 0.5000 0.5000
Fe 0.7500 0.7500 0.7500
! * calculated formation energy: 9 kJ per mole of atoms
! * calculated volume: 13.271 A^3/atom
! * symmetry: F-43m, No. 216
! * raw total energy: -3.13 eV per atom